# 1
# CsNaLa2Br8

An optimized crystal structure of CsNaLa2Br8 (PBE-GGA, Alexandria via LeMat-Bulk).

The structure in extended XYZ format:
```
12
Lattice="-0.1848 -6.9785 -2.7983 4.2673 -2.9640 5.2156 -7.5681 -1.8579 5.1351" Properties=species:S:1:pos:R:3 pbc="T T T"
Br -0.6671 -6.9189 0.1486
Na 0.0000 0.0000 0.0000
La 0.2072 -5.4216 2.4531
Br -0.8705 -7.3638 4.5324
Br 1.5048 -3.8204 4.4705
Br -6.4129 -5.1987 5.6278
Br -4.9904 -7.9800 3.0819
La -3.6928 -6.3789 5.0993
Cs -3.7840 -0.9289 2.5675
Br -2.6151 -4.4367 3.0200
Br 2.9273 -6.6017 1.9246
Br -2.8185 -4.8815 7.4038
```

* formation energy from raw total energies: -1.855 eV/atom
* ρ: 3.464 g/cm3
* raw total energy: -3.97 eV per atom


# 2
# CsLaNb6Br18

An optimized crystal structure of CsLaNb6Br18 (PBE-GGA, Alexandria via LeMat-Bulk).

The structure in extended XYZ format:
```
52
Lattice="10.0312 0.0000 0.0000 -5.0156 8.6873 0.0000 0.0000 0.0000 18.6432" Properties=species:S:1:pos:R:3 pbc="T T T"
Nb 4.4328 7.0797 10.5272
Br 1.4508 3.8197 6.3573
Br 6.4664 4.8676 15.6789
Br 3.5648 4.8676 12.2859
Br 2.7914 2.3338 9.3145
Br -0.9823 8.0339 2.9643
Nb 3.9147 7.3788 1.2055
Cs 5.0156 2.8958 4.6608
Br 1.5988 7.4368 18.6361
Br 2.4331 5.5210 2.9643
Cs 0.0000 5.7915 13.9824
Nb -0.5828 1.6077 1.2055
Nb -3.9147 7.3788 8.1161
Br 5.7393 6.7132 2.9608
Br -0.7236 1.9741 15.6824
Br 0.6255 3.5843 18.6361
Br 2.5825 3.1663 15.6789
Br 2.0715 0.3604 6.3608
Br 2.9442 8.3269 12.2824
Br -2.9442 8.3269 15.6824
Br 4.2920 6.7132 6.3608
Nb -3.3320 8.3882 1.2055
Br -2.4331 5.5210 6.3573
Br 8.6834 1.6137 6.3608
Br 7.9598 0.3604 2.9608
Nb 8.9304 1.3085 10.5272
La 5.0156 2.8958 13.9824
Br 4.0333 0.6534 12.2859
Br 3.6678 7.0736 15.6824
Br 5.9979 0.6534 15.6789
Nb 1.1009 1.3085 17.4377
Br 1.3478 1.6137 2.9608
Br -1.5988 7.4368 9.3287
Nb 0.5828 1.6077 8.1161
Br 0.9823 8.0339 6.3573
Br -2.2242 6.3535 18.6361
La 0.0000 5.7915 4.6608
Nb 1.6837 0.2991 10.5272
Nb 3.3320 8.3882 8.1161
Nb 5.5984 7.0797 17.4377
Br 6.6144 1.2505 9.3145
Br 4.3901 5.1030 0.0071
Br 2.2242 6.3535 9.3287
Br 3.4169 1.2505 0.0071
Br 5.6411 5.1030 9.3145
Br -1.4508 3.8197 2.9643
Br -3.6678 7.0736 12.2824
Br 0.7236 1.9741 12.2824
Br -0.6255 3.5843 9.3287
Nb 8.3476 0.2991 17.4377
Br 7.2399 2.3338 0.0071
Br 7.4487 3.1663 12.2859
```

* formation energy from raw total energies: -1.152 eV/atom
* ρ: 4.635 g/cm3
* raw total energy: -4.86 eV per atom


# 3
# Cs2LaTa6Br15O3

An optimized crystal structure of Cs2LaTa6Br15O3 (PBE-GGA, Alexandria via LeMat-Bulk).

The structure in extended XYZ format:
```
54
Lattice="9.6481 0.0000 0.0000 -4.8240 8.3555 0.0000 0.0000 0.0000 18.8828" Properties=species:S:1:pos:R:3 pbc="T T T"
Br 4.8240 4.7980 4.7207
Ta 5.5749 6.7823 15.3224
Br 6.5672 1.7787 4.7207
O 0.0000 3.0072 4.7207
Br 3.0809 1.7787 4.7207
Ta 1.7378 0.1363 13.0018
La 0.0000 5.5703 4.7207
Br 3.9352 6.5098 7.7090
Cs 0.0000 5.5703 10.1819
Ta -3.0863 8.2191 3.5604
Br -1.7432 6.5767 14.1621
Ta -0.7508 1.5731 3.5604
Br 0.0000 3.5575 14.1621
Br 2.2050 5.0529 2.3015
O 7.0438 1.5036 14.1621
Cs 4.8240 2.7852 0.7405
Ta 0.7508 1.5731 5.8810
Br -2.7812 8.2024 17.1504
O 2.2197 6.8519 4.7207
Ta -3.8371 6.9187 5.8810
O 4.8240 5.3483 14.1621
Br -1.5506 3.9194 2.3015
Br -3.6700 6.6629 11.1738
Br 8.4941 1.6926 7.7090
Br 5.4785 0.6168 16.5813
Br 1.1540 1.6926 1.7324
Br 3.6700 6.6629 17.1504
Ta 4.0732 6.7823 13.0018
Br 2.6190 3.3026 16.5813
Br 1.5506 3.9194 7.1399
O 2.6043 1.5036 14.1621
Br -0.6544 7.7386 2.3015
Br 0.6544 7.7386 7.1399
Ta 3.8371 6.9187 3.5604
Br 4.1696 0.6168 11.7429
Cs 0.0000 5.5703 18.1423
Br 5.7128 6.5098 1.7324
Ta 3.0863 8.2191 5.8810
Br 7.6053 0.1531 1.7324
Br 2.7812 8.2024 11.1738
Br 3.2734 4.4361 11.7429
O -2.2197 6.8519 4.7207
Br -0.8888 1.8457 17.1504
Cs 4.8240 2.7852 8.7009
Ta 8.6611 1.4368 13.0018
La 4.8240 2.7852 14.1621
Br 6.3746 4.4361 16.5813
Br 7.0291 3.3026 11.7429
Br 0.8888 1.8457 11.1738
Ta 0.9870 1.4368 15.3224
Br 1.7432 6.5767 14.1621
Br 2.0428 0.1531 7.7090
Ta 7.9103 0.1363 15.3224
Br -2.2050 5.0529 7.1399
```

* formation energy from raw total energies: -1.488 eV/atom
* ρ: 5.971 g/cm3
* raw total energy: -5.85 eV per atom


What did the first record say?
# CsNaLa2Br8

An optimized crystal structure of CsNaLa2Br8 (PBE-GGA, Alexandria via LeMat-Bulk).

The structure in extended XYZ format:
```
12
Lattice="-0.1848 -6.9785 -2.7983 4.2673 -2.9640 5.2156 -7.5681 -1.8579 5.1351" Properties=species:S:1:pos:R:3 pbc="T T T"
Br -0.6671 -6.9189 0.1486
Na 0.0000 0.0000 0.0000
La 0.2072 -5.4216 2.4531
Br -0.8705 -7.3638 4.5324
Br 1.5048 -3.8204 4.4705
Br -6.4129 -5.1987 5.6278
Br -4.9904 -7.9800 3.0819
La -3.6928 -6.3789 5.0993
Cs -3.7840 -0.9289 2.5675
Br -2.6151 -4.4367 3.0200
Br 2.9273 -6.6017 1.9246
Br -2.8185 -4.8815 7.4038
```

* formation energy from raw total energies: -1.855 eV/atom
* ρ: 3.464 g/cm3
* raw total energy: -3.97 eV per atom